Entry from Alexandria: crystalline Ba2WO4F at its relaxed geometry (PBE+U).

Values from the calculation:
DOS at the Fermi energy ... 0.0 states/eV/cell
Magnetization ... 0.124 μB per atom
Uncorrected energy ... -6.71 eV/atom

a b c (Å): 3.455 5.793 7.484
angles (deg): 67.86 76.66 72.65
Fractional coordinates of all 8 atoms:
F 0.500 0.500 0.500
O 0.599 0.750 0.052
O 0.129 0.006 0.736
O 0.401 0.250 0.948
O 0.871 0.994 0.264
Ba 0.820 0.655 0.705
Ba 0.180 0.345 0.295
W 0.000 0.000 0.000